Record 1
A geometry-optimized SiHg2 structure. Source: Alexandria via LeMat-Bulk, functional PBE.

## Properties
The uncorrected formation energy comes out at 0.3054 eV/atom. The energy above the most stable polymorph in this dataset is 0.129 eV/atom.

Cell and atoms, written as POSCAR:
```
SiHg2
1.0
6.192 -1.496 0.000
6.192 1.496 0.000
-3.073 0.000 7.434
Si Hg
2 4
direct
0.000 0.000 0.000 Si
0.678 0.678 0.107 Si
0.205 0.205 0.447 Hg
0.430 0.430 0.267 Hg
0.479 0.479 0.663 Hg
0.754 0.754 0.825 Hg
```

***

Record 2
A geometry-optimized Si5Hg3 structure. Source: Alexandria via LeMat-Bulk, functional PBE.

## Properties
The uncorrected formation energy comes out at 0.5721 eV/atom. The energy above the most stable polymorph in this dataset is 0.189 eV/atom.

Cell and atoms, written as POSCAR:
```
Si5Hg3
1.0
8.812 0.000 0.000
-4.406 7.632 0.000
0.000 0.000 4.898
Si Hg
10 6
direct
0.000 0.163 0.250 Si
0.000 0.837 0.750 Si
0.163 0.000 0.250 Si
0.163 0.163 0.750 Si
0.333 0.667 0.000 Si
0.333 0.667 0.500 Si
0.667 0.333 0.000 Si
0.667 0.333 0.500 Si
0.837 0.000 0.750 Si
0.837 0.837 0.250 Si
0.000 0.393 0.750 Hg
0.000 0.607 0.250 Hg
0.393 0.000 0.750 Hg
0.393 0.393 0.250 Hg
0.607 0.000 0.250 Hg
0.607 0.607 0.750 Hg
```

***

Record 3
A geometry-optimized Si2Hg structure. Source: Alexandria via LeMat-Bulk, functional PBE.

## Properties
The uncorrected formation energy comes out at 0.4397 eV/atom. The energy above the most stable polymorph in this dataset is 0.128 eV/atom.

Cell and atoms, written as POSCAR:
```
Si2Hg
1.0
3.479 0.000 0.000
0.000 3.479 0.000
0.000 0.000 4.994
Si Hg
2 1
direct
0.000 0.500 0.000 Si
0.500 0.000 0.000 Si
0.000 0.000 0.500 Hg
```

***

Record 4
A geometry-optimized Si5Hg3 structure. Source: Alexandria via LeMat-Bulk, functional PBE.

## Properties
The uncorrected formation energy comes out at 0.3832 eV/atom. The energy above the most stable polymorph in this dataset is 0.000 eV/atom.

Cell and atoms, written as POSCAR:
```
Si5Hg3
1.0
3.386 0.000 0.000
0.000 3.386 0.000
0.000 0.000 14.945
Si Hg
5 3
direct
0.000 0.000 0.000 Si
0.000 0.000 0.329 Si
0.000 0.000 0.671 Si
0.500 0.500 0.287 Si
0.500 0.500 0.713 Si
0.000 0.000 0.500 Hg
0.500 0.500 0.115 Hg
0.500 0.500 0.885 Hg
```

***

> Which formula does entry 2 have?

Si5Hg3